This record from the Alexandria database describes RbLiPu2Br8 after structural relaxation. The functional is PBE-GGA.

Total magnetic moment ... 10.0 μB per cell
Calculated density ... 4.47 g cm⁻³
V ... 453 Å³/f.u.
E_tot ... -5.27 eV per atom
E_form (uncorrected) ... -1763 kJ/mol of formula units

Cell lengths 7.1990, 7.0822, 8.9730 Å; angles 89.99, 90.00, 82.34 degrees
With the nearest neighbours (Å) after each atom.
Fractional coordinates of all 12 atoms:
Rb  0.0000  0.0000  0.5000  6 Br 3.27-3.62
Li  0.0000  0.0000  0.0000  4 Br 2.73
Pu  0.5000  0.5000  0.7590  6 Br 2.84-2.96
Pu  0.5000  0.5000  0.2410  6 Br 2.84-2.96
Br  0.1610  0.7513  0.2102  1 Li 2.73, 1 Pu 2.84
Br  0.6368  0.7184  0.0000  2 Pu 2.91
Br  0.8390  0.2485  0.2101  1 Li 2.73, 1 Pu 2.84
Br  0.8390  0.2487  0.7898  1 Li 2.73, 1 Pu 2.84
Br  0.3632  0.2816  0.0000  2 Pu 2.91
Br  0.1610  0.7515  0.7899  1 Li 2.73, 1 Pu 2.84
Br  0.6217  0.7112  0.4999  2 Pu 2.96
Br  0.3783  0.2888  0.5001  2 Pu 2.96


This record from the Alexandria database describes Rb2LiPuBr6 after structural relaxation. The functional is PBE-GGA.

Total magnetic moment ... 10.0 μB per cell
Calculated density ... 4.31 g cm⁻³
V ... 347 Å³/f.u.
E_tot ... -4.45 eV per atom
E_form (uncorrected) ... -1574 kJ/mol of formula units

Cell lengths 7.7929, 8.0076, 11.1231 Å; angles 90.00, 89.77, 90.00 degrees
With the nearest neighbours (Å) after each atom.
Fractional coordinates of all 20 atoms:
Rb  0.0130  0.9506  0.2505  8 Br 3.53-3.84
Rb  0.5130  0.5494  0.7505  8 Br 3.53-3.84
Rb  0.9870  0.0494  0.7495  8 Br 3.53-3.84
Rb  0.4870  0.4506  0.2495  8 Br 3.53-3.84
Li  0.5000  0.0000  0.0000  6 Br 2.78-2.83
Li  0.0000  0.5000  0.5000  6 Br 2.78-2.83
Pu  0.5000  0.0000  0.5000  6 Br 2.87-2.88
Pu  0.0000  0.5000  0.0000  6 Br 2.87-2.88
Br  0.2920  0.7140  0.0357  1 Li 2.83, 1 Pu 2.88
Br  0.7920  0.7860  0.5357  1 Li 2.83, 1 Pu 2.88
Br  0.7080  0.2860  0.9643  1 Li 2.83, 1 Pu 2.88
Br  0.2080  0.2140  0.4643  1 Li 2.83, 1 Pu 2.88
Br  0.2889  0.7078  0.4697  1 Li 2.82, 1 Pu 2.88
Br  0.7889  0.7922  0.9697  1 Li 2.82, 1 Pu 2.88
Br  0.7111  0.2922  0.5303  1 Li 2.82, 1 Pu 2.88
Br  0.2111  0.2078  0.0303  1 Li 2.82, 1 Pu 2.88
Br  0.9366  0.5125  0.2545  1 Li 2.78, 1 Pu 2.87
Br  0.4366  0.9875  0.7545  1 Li 2.78, 1 Pu 2.87
Br  0.0634  0.4875  0.7455  1 Li 2.78, 1 Pu 2.87
Br  0.5634  0.0125  0.2455  1 Li 2.78, 1 Pu 2.87


This record from the Alexandria database describes Rb3Li2PuBr8 after structural relaxation. The functional is PBE-GGA.

Total magnetic moment ... 5.0 μB per cell
Calculated density ... 3.62 g cm⁻³
V ... 529 Å³/f.u.
E_tot ... -4.04 eV per atom
E_form (uncorrected) ... -2133 kJ/mol of formula units

Cell lengths 7.8406, 7.8406, 9.9422 Å; angles 90.00, 90.00, 120.00 degrees
With the nearest neighbours (Å) after each atom.
Fractional coordinates of all 14 atoms:
Rb  0.3333  0.6667  0.6307  1 Br 3.22
Rb  0.6667  0.3333  0.3693  1 Br 3.22
Rb  0.0000  0.0000  0.0000  6 Br 3.96
Li  0.3333  0.6667  0.1920  4 Br 2.36-2.62
Li  0.6667  0.3333  0.8080  4 Br 2.36-2.62
Pu  0.0000  0.0000  0.5000  6 Br 2.86
Br  0.3333  0.6667  0.9547  1 Li 2.36
Br  0.6667  0.3333  0.0453  1 Li 2.36
Br  0.1676  0.8324  0.3264  1 Li 2.62, 1 Pu 2.86
Br  0.8324  0.1676  0.6736  1 Li 2.62, 1 Pu 2.86
Br  0.1676  0.3352  0.3264  1 Li 2.62, 1 Pu 2.86
Br  0.8324  0.6648  0.6736  1 Li 2.62, 1 Pu 2.86
Br  0.6648  0.8324  0.3264  1 Li 2.62, 1 Pu 2.86
Br  0.3352  0.1676  0.6736  1 Li 2.62, 1 Pu 2.86


This record from the Alexandria database describes LiPuSeBr after structural relaxation. The functional is PBE-GGA.

Total magnetic moment ... 12.0 μB per cell
Calculated density ... 6.40 g cm⁻³
V ... 106 Å³/f.u.
E_tot ... -6.71 eV per atom
E_form (uncorrected) ... -523 kJ/mol of formula units

Cell lengths 4.1706, 4.1706, 14.3210 Å; angles 81.63, 81.63, 60.00 degrees
With the nearest neighbours (Å) after each atom.
Fractional coordinates of all 8 atoms:
Li  0.8123  0.8123  0.5632  4 Se 2.55-2.63
Li  0.1877  0.1877  0.4368  4 Se 2.55-2.63
Pu  0.5829  0.5829  0.2513  3 Br 2.97, 3 Se 2.99
Pu  0.4171  0.4171  0.7487  3 Br 2.97, 3 Se 2.99
Se  0.1256  0.1256  0.6233  4 Li 2.55-2.63
Se  0.8744  0.8744  0.3767  4 Li 2.55-2.63
Br  0.7092  0.7092  0.8723  3 Pu 2.97
Br  0.2908  0.2908  0.1277  3 Pu 2.97


This record from the Alexandria database describes Li2PuSnBr8 after structural relaxation. The functional is PBE-GGA.

Total magnetic moment ... 4.0 μB per cell
Calculated density ... 4.10 g cm⁻³
V ... 411 Å³/f.u.
E_tot ... -4.19 eV per atom
E_form (uncorrected) ... -1419 kJ/mol of formula units

Cell lengths 6.9798, 7.1974, 8.7770 Å; angles 73.00, 90.10, 102.16 degrees
With the nearest neighbours (Å) after each atom.
Fractional coordinates of all 12 atoms:
Li  0.5418  0.3498  0.6745  4 Br 2.52-2.68
Li  0.4582  0.6502  0.3255  4 Br 2.52-2.68
Pu  0.0000  0.0000  0.0000  6 Br 2.74-2.85
Sn  0.0000  0.0000  0.5000  6 Br 2.94-3.04
Br  0.1153  0.7644  0.2917  1 Li 2.68, 1 Pu 2.85
Br  0.6367  0.7476  0.0506  1 Li 2.55, 1 Pu 2.74
Br  0.8774  0.2145  0.1824  1 Pu 2.77, 1 Sn 2.99
Br  0.8847  0.2356  0.7083  1 Li 2.68, 1 Pu 2.85
Br  0.3633  0.2524  0.9494  1 Li 2.55, 1 Pu 2.74
Br  0.1226  0.7855  0.8176  1 Pu 2.77, 1 Sn 2.99
Br  0.6103  0.7296  0.5654  2 Li 2.52-2.56
Br  0.3897  0.2704  0.4346  2 Li 2.52-2.56


This record from the Alexandria database describes SrLi2PuBr8 after structural relaxation. The functional is PBE-GGA.

Total magnetic moment ... 4.0 μB per cell
Calculated density ... 3.84 g cm⁻³
V ... 426 Å³/f.u.
E_tot ... -4.33 eV per atom
E_form (uncorrected) ... -1802 kJ/mol of formula units

Cell lengths 6.9845, 7.3484, 8.9573 Å; angles 71.28, 90.62, 101.26 degrees
With the nearest neighbours (Å) after each atom.
Fractional coordinates of all 12 atoms:
Sr  0.0000  0.0000  0.5000  6 Br 3.02-3.16
Li  0.5370  0.3538  0.6742  4 Br 2.51-2.68
Li  0.4630  0.6462  0.3258  4 Br 2.51-2.68
Pu  0.0000  0.0000  0.0000  6 Br 2.73-2.84
Br  0.1214  0.7642  0.2894  1 Li 2.68, 1 Pu 2.84
Br  0.6435  0.7502  0.0533  1 Li 2.57, 1 Pu 2.73
Br  0.8721  0.2147  0.1673  1 Pu 2.76
Br  0.8786  0.2358  0.7106  1 Li 2.68, 1 Pu 2.84
Br  0.3565  0.2498  0.9467  1 Li 2.57, 1 Pu 2.73
Br  0.1279  0.7853  0.8327  1 Pu 2.76
Br  0.6054  0.7249  0.5617  2 Li 2.51-2.53
Br  0.3946  0.2751  0.4383  2 Li 2.51-2.53


This record from the Alexandria database describes SrLiPuBr6 after structural relaxation. The functional is PBE-GGA.

Total magnetic moment ... 10.0 μB per cell
Calculated density ... 4.46 g cm⁻³
V ... 305 Å³/f.u.
E_tot ... -4.80 eV per atom
E_form (uncorrected) ... -1473 kJ/mol of formula units

Cell lengths 7.2364, 7.2364, 13.4290 Å; angles 90.00, 90.00, 120.00 degrees
With the nearest neighbours (Å) after each atom.
Fractional coordinates of all 18 atoms:
Sr  0.0000  0.0000  0.0000  6 Br 3.10
Sr  0.0000  0.0000  0.5000  6 Br 3.10
Li  0.3333  0.6667  0.2500  6 Br 2.79
Li  0.6667  0.3333  0.7500  6 Br 2.79
Pu  0.6667  0.3333  0.2500  6 Br 2.88
Pu  0.3333  0.6667  0.7500  6 Br 2.88
Br  0.6434  0.6539  0.1317  1 Li 2.79, 1 Pu 2.88, 1 Sr 3.10
Br  0.0104  0.3566  0.1317  1 Li 2.79, 1 Pu 2.88, 1 Sr 3.10
Br  0.3566  0.0104  0.6317  1 Li 2.79, 1 Pu 2.88, 1 Sr 3.10
Br  0.9896  0.6434  0.8683  1 Li 2.79, 1 Pu 2.88, 1 Sr 3.10
Br  0.3461  0.3566  0.3683  1 Li 2.79, 1 Pu 2.88, 1 Sr 3.10
Br  0.0104  0.6539  0.3683  1 Li 2.79, 1 Pu 2.88, 1 Sr 3.10
Br  0.6539  0.0104  0.8683  1 Li 2.79, 1 Pu 2.88, 1 Sr 3.10
Br  0.6434  0.9896  0.3683  1 Li 2.79, 1 Pu 2.88, 1 Sr 3.10
Br  0.9896  0.3461  0.6317  1 Li 2.79, 1 Pu 2.88, 1 Sr 3.10
Br  0.3461  0.9896  0.1317  1 Li 2.79, 1 Pu 2.88, 1 Sr 3.10
Br  0.6539  0.6434  0.6317  1 Li 2.79, 1 Pu 2.88, 1 Sr 3.10
Br  0.3566  0.3461  0.8683  1 Li 2.79, 1 Pu 2.88, 1 Sr 3.10


This record from the Alexandria database describes Li2PuTlBr6 after structural relaxation. The functional is PBE-GGA.

Total magnetic moment ... 5.0 μB per cell
Calculated density ... 5.01 g cm⁻³
V ... 312 Å³/f.u.
E_tot ... -4.42 eV per atom
E_form (uncorrected) ... -1312 kJ/mol of formula units

Cell lengths 7.3326, 7.3317, 7.9282 Å; angles 62.46, 62.45, 59.99 degrees
With the nearest neighbours (Å) after each atom.
Fractional coordinates of all 10 atoms:
Li  0.5173  0.5174  0.4484  6 Br 2.76-2.95
Li  0.0075  0.0076  0.9773  6 Br 2.71-2.96
Pu  0.3214  0.3214  0.0358  6 Br 2.89-2.91
Tl  0.8009  0.8008  0.5972  6 Br 3.25-3.41
Br  0.6044  0.2572  0.2364  2 Li 2.76-2.96, 1 Pu 2.91
Br  0.2571  0.9020  0.2364  2 Li 2.76-2.96, 1 Pu 2.90
Br  0.9020  0.6045  0.2363  2 Li 2.76-2.96, 1 Pu 2.91
Br  0.3330  0.7433  0.7491  2 Li 2.71-2.95, 1 Pu 2.89
Br  0.7434  0.1744  0.7491  2 Li 2.71-2.95, 1 Pu 2.89
Br  0.1745  0.3329  0.7492  2 Li 2.71-2.95, 1 Pu 2.89


This record from the Alexandria database describes LiPuTl2Br6 after structural relaxation. The functional is PBE-GGA.

Total magnetic moment ... 10.0 μB per cell
Calculated density ... 5.71 g cm⁻³
V ... 331 Å³/f.u.
E_tot ... -4.36 eV per atom
E_form (uncorrected) ... -1211 kJ/mol of formula units

Cell lengths 7.5872, 8.0133, 10.9042 Å; angles 90.00, 90.44, 90.00 degrees
With the nearest neighbours (Å) after each atom.
Fractional coordinates of all 20 atoms:
Li  0.5000  0.0000  0.5000  6 Br 2.76-2.84
Li  0.0000  0.5000  0.0000  6 Br 2.76-2.84
Pu  0.5000  0.0000  0.0000  6 Br 2.88
Pu  0.0000  0.5000  0.5000  6 Br 2.88
Tl  0.0227  0.9269  0.2482  7 Br 3.36-3.77
Tl  0.5227  0.5731  0.7482  7 Br 3.36-3.77
Tl  0.9773  0.0731  0.7518  7 Br 3.36-3.77
Tl  0.4773  0.4269  0.2518  7 Br 3.36-3.77
Br  0.3008  0.6995  0.0430  1 Li 2.82, 1 Pu 2.88
Br  0.8008  0.8005  0.5430  1 Li 2.82, 1 Pu 2.88
Br  0.6992  0.3005  0.9570  1 Li 2.82, 1 Pu 2.88
Br  0.1992  0.1995  0.4570  1 Li 2.82, 1 Pu 2.88
Br  0.3037  0.7048  0.4527  1 Li 2.84, 1 Pu 2.88
Br  0.8037  0.7952  0.9527  1 Li 2.84, 1 Pu 2.88
Br  0.6963  0.2952  0.5473  1 Li 2.84, 1 Pu 2.88
Br  0.1963  0.2048  0.0473  1 Li 2.84, 1 Pu 2.88
Br  0.9090  0.5206  0.2440  1 Li 2.76, 1 Pu 2.88
Br  0.4090  0.9794  0.7440  1 Li 2.76, 1 Pu 2.88
Br  0.0910  0.4794  0.7560  1 Li 2.76, 1 Pu 2.88
Br  0.5910  0.0206  0.2560  1 Li 2.76, 1 Pu 2.88


This record from the Alexandria database describes Li2PuUBr8 after structural relaxation. The functional is PBE-GGA.

Total magnetic moment ... 2.8 μB per cell
Calculated density ... 4.75 g cm⁻³
V ... 397 Å³/f.u.
E_tot ... -4.98 eV per atom
E_form (uncorrected) ... -1637 kJ/mol of formula units

Cell lengths 6.9501, 6.7170, 8.5308 Å; angles 90.00, 90.00, 95.08 degrees
With the nearest neighbours (Å) after each atom.
Fractional coordinates of all 12 atoms:
Li  0.5000  0.5000  0.7399  4 Br 2.69-2.85
Li  0.5000  0.5000  0.2601  4 Br 2.69-2.85
Pu  0.0000  0.0000  0.5000  6 Br 2.88-2.95
U  0.0000  0.0000  0.0000  6 Br 2.85-2.88
Br  0.1728  0.7791  0.2440  1 U 2.88, 1 Pu 2.95, 1 Li 3.08
Br  0.6734  0.7127  0.0000  1 U 2.85, 2 Li 2.85
Br  0.8272  0.2209  0.2439  1 U 2.88, 1 Pu 2.95, 1 Li 3.08
Br  0.8272  0.2209  0.7560  1 U 2.88, 1 Pu 2.95, 1 Li 3.08
Br  0.3266  0.2873  0.0000  1 U 2.85, 2 Li 2.85
Br  0.1728  0.7791  0.7561  1 U 2.88, 1 Pu 2.95, 1 Li 3.08
Br  0.6679  0.7107  0.5000  2 Li 2.69, 1 Pu 2.88
Br  0.3321  0.2893  0.5000  2 Li 2.69, 1 Pu 2.88


This record from the Alexandria database describes RbLiBr3 after structural relaxation. The functional is PBE-GGA.

Total magnetic moment ... 1.0 μB per cell
Calculated density ... 3.60 g cm⁻³
V ... 153 Å³/f.u.
E_tot ... -2.74 eV per atom
E_form (uncorrected) ... -561 kJ/mol of formula units

Cell lengths 5.3519, 5.3519, 5.3519 Å; angles 90.00, 90.00, 90.00 degrees
With the nearest neighbours (Å) after each atom.
Fractional coordinates of all 5 atoms:
Br  0.0000  0.5000  0.0000  2 Li 2.68
Br  0.0000  0.0000  0.5000  2 Li 2.68
Br  0.5000  0.0000  0.0000  2 Li 2.68
Rb  0.5000  0.5000  0.5000  12 Br 3.78
Li  0.0000  0.0000  0.0000  6 Br 2.68


This record from the Alexandria database describes Rb3LiBr6 after structural relaxation. The functional is PBE-GGA.

Total magnetic moment ... 2.0 μB per cell
Calculated density ... 3.04 g cm⁻³
V ... 405 Å³/f.u.
E_tot ... -2.60 eV per atom
E_form (uncorrected) ... -1078 kJ/mol of formula units

Cell lengths 8.3053, 8.3053, 8.3075 Å; angles 60.01, 60.01, 90.00 degrees
With the nearest neighbours (Å) after each atom.
Fractional coordinates of all 10 atoms:
Br  0.2765  0.2765  0.4471  1 Li 2.63
Br  0.7235  0.7235  0.5529  1 Li 2.63
Br  0.2767  0.2767  0.0000  1 Li 2.62
Br  0.7233  0.7233  0.0000  1 Li 2.62
Br  0.7233  0.2767  0.0000  1 Li 2.62
Br  0.2767  0.7233  0.0000  1 Li 2.62
Rb  0.7500  0.2500  0.5000  12 Br 4.16-4.17
Rb  0.2500  0.7500  0.5000  12 Br 4.16-4.17
Rb  0.0000  0.0000  0.0000  6 Br 3.25
Li  0.5000  0.5000  0.0000  6 Br 2.62-2.63